Material: MoP3
Method: DFT, SCAN
State: single point on PBEsol structure

Cell: 2.9994 4.3047 4.3047 Å, 106.47 90.00 90.00°
Closest atoms and distances in Å follow each position.
Sites, in units of the cell vectors:
Mo 0.0000 0.0000 0.0000  10 P 2.58-2.62
P 0.5000 0.0000 0.5000  6 P 2.58-2.62, 4 Mo 2.62
P 0.5000 0.5000 0.0000  6 P 2.58-2.62, 4 Mo 2.62
P 0.0000 0.5000 0.5000  2 Mo 2.58, 8 P 2.62

## Properties
Distance to the lowest polymorph of the same formula (eV per atom): 0.1640
Final energy (eV/atom): -16.070
Size of the total moment (μB/f.u.): 0.0
ΔH_f (0 K) (eV/atom): 0.4506

Material: CeSi2Ag2
Method: DFT, SCAN
State: single point on PBEsol structure

Cell: 4.1675 4.1675 6.0363 Å, 110.19 110.19 90.00°
Closest atoms and distances in Å follow each position.
Sites, in units of the cell vectors:
Si 0.3909 0.3909 0.7818  1 Si 2.30, 4 Ag 2.56
Si 0.6091 0.6091 0.2182  1 Si 2.30, 4 Ag 2.56
Ag 0.7500 0.2500 0.5000  4 Si 2.56
Ag 0.2500 0.7500 0.5000  4 Si 2.56
Ce 0.0000 0.0000 0.0000  8 Si 3.16, 8 Ag 3.36

## Properties
Final energy (eV/atom): -25.897
Size of the total moment (μB/f.u.): 0.8
Formation energy (no corrections) (eV per atom): -0.432

final energy of number 2 (CeSi2Ag2)? -25.897 eV/atom